Entry 1:
VASP calculation (PBE) on crystalline CaZn2GePt4 at its relaxed geometry.

Output
The energy of formation from the pure elements is -0.551 eV per atom. The crystal system is trigonal. The value obtained for the total energy is -37.7 eV/f.u.

The structure in POSCAR format:
```
CaZn2GePt4
1.0
-4.262 0.873 0.508
-2.494 -2.623 2.466
-0.492 4.085 7.738
Ca Zn Ge Pt
1 2 1 4
Cartesian
0.000 0.000 0.000
-5.419 1.794 8.096
-1.828 0.540 2.615
-3.624 1.167 5.356
-3.115 2.517 7.306
-6.049 0.123 5.681
-1.198 2.212 5.031
-4.133 -0.182 3.405
```


Entry 2:
VASP calculation (PBE) on crystalline Ca2ZrGe3Pt4 at its relaxed geometry.

Output
The energy of formation from the pure elements is -0.860 eV per atom. The crystal system is tetragonal. The value obtained for the total energy is -59.2 eV/f.u.

The structure in POSCAR format:
```
Ca2ZrGe3Pt4
1.0
4.162 0.000 0.000
0.000 4.162 0.000
0.000 0.000 11.380
Ca Zr Ge Pt
2 1 3 4
Cartesian
2.081 0.000 2.658
0.000 2.081 8.722
2.081 2.081 5.690
0.000 0.000 5.690
2.081 0.000 9.880
0.000 2.081 1.500
2.081 2.081 0.000
0.000 0.000 0.000
2.081 0.000 7.414
0.000 2.081 3.966
```